A geometry-optimized PrHo3Tm7 structure, computed with PBE.

a b c (Å): 6.980 6.980 8.537
angles (deg): 90.00 90.00 120.00
Positions (direct):
Pr 0.000 0.000 0.000
Ho 0.167 0.335 0.662
Ho 0.167 0.833 0.662
Ho 0.665 0.833 0.662
Tm 0.002 0.501 0.001
Tm 0.332 0.166 0.331
Tm 0.333 0.667 0.329
Tm 0.499 0.501 0.001
Tm 0.499 0.998 0.001
Tm 0.834 0.166 0.331
Tm 0.834 0.668 0.331

Properties
Its density of states at the Fermi level is 17.20 states/eV/cell. Its distance to the lowest polymorph of the same formula is 43 meV per atom. As for the magnetization: 0.0 μB per formula unit. Its total energy is -4.326 eV/atom. Its density is 8.38 g/cm3.